No. 1
A geometry-optimized Pa2FeB5 structure, computed with PBE.

Cell lengths 5.0211, 5.0211, 7.6589 Å; angles 90.00, 90.00, 90.00 degrees
Space group I4mm (No. 107)
Unique sites:
Pa 0.0000 0.5000 0.0000 [4 per cell]
Fe 0.0000 0.0000 0.2193 [2 per cell]
B 0.0000 0.0000 0.9227 [2 per cell]
B 0.1824 0.1824 0.7581 [8 per cell]

Computed properties:
The calculated density comes out at 9.8 g cm⁻³. Its formation energy is -0.35 eV per atom.

No. 2
A geometry-optimized Hg2OF structure, computed with PBE.

Cell lengths 3.8016, 5.6872, 10.7486 Å; angles 89.23, 80.20, 78.56 degrees
Space group P1 (No. 1)
Unique sites:
Hg 0.0000 0.0000 0.0000 [1 per cell]
Hg 0.0308 0.2402 0.5000 [1 per cell]
Hg 0.1919 0.9186 0.6777 [1 per cell]
Hg 0.3532 0.4171 0.2064 [1 per cell]
Hg 0.7118 0.8940 0.3755 [1 per cell]
Hg 0.7528 0.4925 0.8637 [1 per cell]
O 0.1666 0.7218 0.8646 [1 per cell]
O 0.8306 0.3484 0.0737 [1 per cell]
O 0.8950 0.4913 0.3497 [1 per cell]
F 0.3245 0.8979 0.2006 [1 per cell]
F 0.4989 0.1765 0.8224 [1 per cell]
F 0.8129 0.5923 0.6365 [1 per cell]

Computed properties:
The calculated density comes out at 9.7 g cm⁻³. The calculation puts the formation energy (no corrections) at -0.67 eV per atom.

No. 3
A geometry-optimized V3GaFe structure, computed with PBE.

Cell lengths 3.9384, 8.7635, 7.8457 Å; angles 90.00, 90.00, 90.00 degrees
Space group Cmcm (No. 63)
Unique sites:
V 0.0000 0.0000 0.0000 [4 per cell]
V 0.0000 0.3006 0.0730 [8 per cell]
Ga 0.0000 0.4273 0.7500 [4 per cell]
Fe 0.0000 0.1464 0.7500 [4 per cell]

Computed properties:
The calculated density comes out at 6.8 g cm⁻³. Its formation energy is 0.04 eV per atom.

No. 4
A geometry-optimized In2FeAu structure, computed with PBE.

Cell lengths 3.6229, 3.6229, 5.8780 Å; angles 90.00, 90.00, 90.00 degrees
Space group P4mm (No. 99)
Unique sites:
In 0.0000 0.0000 0.0000 [1 per cell]
In 0.5000 0.5000 0.3129 [1 per cell]
Fe 0.5000 0.5000 0.8070 [1 per cell]
Au 0.0000 0.0000 0.5361 [1 per cell]

Computed properties:
The calculated density comes out at 10.4 g cm⁻³. Its formation energy is 0.19 eV per atom.

No. 5
A geometry-optimized LiZn5 structure, computed with PBE.

Cell lengths 4.5191, 2.7252, 14.2799 Å; angles 90.00, 90.00, 90.00 degrees
Space group Amm2 (No. 38)
Unique sites:
Li 0.0000 0.0000 0.0000 [2 per cell]
Zn 0.0000 0.0000 0.3322 [2 per cell]
Zn 0.0000 0.0000 0.6635 [2 per cell]
Zn 0.5000 0.0000 0.2228 [2 per cell]
Zn 0.5000 0.0000 0.5560 [2 per cell]
Zn 0.5000 0.0000 0.8929 [2 per cell]

Computed properties:
The calculated density comes out at 6.3 g cm⁻³. Its formation energy is -0.10 eV per atom.

No. 6
A geometry-optimized Zr3GaIr2 structure, computed with PBE.

Cell lengths 10.0213, 4.4676, 10.1511 Å; angles 90.00, 90.00, 90.00 degrees
Space group Pnma (No. 62)
Unique sites:
Zr 0.0259 0.2500 0.1298 [4 per cell]
Zr 0.1484 0.7500 0.5925 [4 per cell]
Zr 0.2126 0.2500 0.8209 [4 per cell]
Ga 0.1323 0.2500 0.4052 [4 per cell]
Ir 0.0115 0.7500 0.3255 [4 per cell]
Ir 0.1727 0.7500 0.0669 [4 per cell]

Computed properties:
The calculated density comes out at 10.6 g cm⁻³. Its formation energy is -0.67 eV per atom.

No. 7
A geometry-optimized La2MgCd2 structure, computed with PBE.

Cell lengths 9.4437, 9.4437, 3.4615 Å; angles 90.00, 90.00, 90.00 degrees
Space group P4/mbm (No. 127)
Unique sites:
La 0.1748 0.3252 0.0000 [4 per cell]
Mg 0.0000 0.0000 0.0000 [2 per cell]
Cd 0.1193 0.6193 0.5000 [4 per cell]

Computed properties:
The calculated density comes out at 5.7 g cm⁻³. Its formation energy is -0.06 eV per atom.

No. 8
A geometry-optimized Ac3Tl4BO8 structure, computed with PBE.

Cell lengths 13.0484, 7.6019, 7.5819 Å; angles 90.00, 123.07, 90.00 degrees
Space group C2/m (No. 12)
Unique sites:
Ac 0.0000 0.0000 0.0000 [2 per cell]
Ac 0.2500 0.2500 0.5000 [4 per cell]
Tl 0.0000 0.0000 0.5000 [2 per cell]
Tl 0.0000 0.5000 0.5000 [2 per cell]
Tl 0.2500 0.2500 0.0000 [4 per cell]
B 0.0000 0.5000 0.0000 [2 per cell]
O 0.0208 0.2380 0.2484 [8 per cell]
O 0.1951 0.0000 0.6701 [4 per cell]
O 0.2302 0.0000 0.2735 [4 per cell]

Computed properties:
The calculated density comes out at 8.6 g cm⁻³. The calculation puts the formation energy (no corrections) at -1.41 eV per atom.

Which value of calculated density does entry 1 give? 9.8 g cm⁻³

Among the records above, which one has the lowest calculated density? La2MgCd2

Please write out number 3 again, unchanged.
A geometry-optimized V3GaFe structure, computed with PBE.

Cell lengths 3.9384, 8.7635, 7.8457 Å; angles 90.00, 90.00, 90.00 degrees
Space group Cmcm (No. 63)
Unique sites:
V 0.0000 0.0000 0.0000 [4 per cell]
V 0.0000 0.3006 0.0730 [8 per cell]
Ga 0.0000 0.4273 0.7500 [4 per cell]
Fe 0.0000 0.1464 0.7500 [4 per cell]

Computed properties:
The calculated density comes out at 6.8 g cm⁻³. Its formation energy is 0.04 eV per atom.